(1)
VASP calculation (PBE) on an optimized crystal structure of Ho2PdAu.

POSCAR file:
```
Ho2PdAu
1.0
3.528 0.000 0.000
0.000 3.528 0.000
0.000 0.000 7.134
Ho Pd Au
2 1 1
direct
0.000 0.000 0.245
0.000 0.000 0.755
0.500 0.500 0.000
0.500 0.500 0.500
```

Properties
Energy of formation from the pure elements ... -3.5 eV per formula unit
Space group ... P4/mmm

(2)
VASP calculation (PBE) on an optimized crystal structure of Ti3Zn3In.

POSCAR file:
```
Ti3Zn3In
1.0
7.877 0.000 0.000
0.000 7.877 0.000
0.000 0.000 7.877
Ti Zn In
12 12 4
direct
0.035 0.465 0.535
0.156 0.156 0.156
0.213 0.787 0.287
0.287 0.213 0.787
0.344 0.844 0.656
0.465 0.535 0.035
0.535 0.035 0.465
0.656 0.344 0.844
0.713 0.713 0.713
0.787 0.287 0.213
0.844 0.656 0.344
0.965 0.965 0.965
0.016 0.810 0.586
0.086 0.484 0.190
0.190 0.086 0.484
0.310 0.914 0.984
0.414 0.516 0.690
0.484 0.190 0.086
0.516 0.690 0.414
0.586 0.016 0.810
0.690 0.414 0.516
0.810 0.586 0.016
0.914 0.984 0.310
0.984 0.310 0.914
0.128 0.628 0.872
0.372 0.372 0.372
0.628 0.872 0.128
0.872 0.128 0.628
```

Properties
Energy of formation from the pure elements ... 0.2 eV per formula unit
Space group ... P2_13

(3)
VASP calculation (PBE) on an optimized crystal structure of PrTcB2.

POSCAR file:
```
PrTcB2
1.0
1.714 0.989 5.823
-1.714 0.989 5.823
0.000 -1.979 5.823
Pr Tc B
1 1 2
direct
0.000 0.000 0.000
0.500 0.500 0.500
0.224 0.224 0.224
0.776 0.776 0.776
```

Properties
Energy of formation from the pure elements ... 0.3 eV per formula unit
Space group ... R-3m

(4)
VASP calculation (PBE) on an optimized crystal structure of Er3C2.

POSCAR file:
```
Er3C2
1.0
3.064 1.769 5.807
-3.064 1.769 5.807
0.000 -3.538 5.807
Er C
6 4
direct
0.063 0.750 0.437
0.250 0.563 0.937
0.437 0.063 0.750
0.563 0.937 0.250
0.750 0.437 0.063
0.937 0.250 0.563
0.156 0.156 0.156
0.344 0.344 0.344
0.656 0.656 0.656
0.844 0.844 0.844
```

Properties
Relative energy among the computed polymorphs ... 75 meV/atom
Energy of formation from the pure elements ... -1.3 eV per formula unit
Space group ... R-3c

(5)
VASP calculation (PBE) on an optimized crystal structure of SrTaAuI2.

POSCAR file:
```
SrTaAuI2
1.0
5.828 0.000 0.000
0.000 5.828 0.000
0.000 0.000 5.239
Sr Ta Au I
1 1 1 2
direct
0.000 0.000 0.000
0.500 0.500 0.000
0.500 0.500 0.500
0.000 0.500 0.500
0.500 0.000 0.500
```

Properties
ΔE_f (raw) ... 0.54 eV/atom
Space group ... P4/mmm

(6)
VASP calculation (PBE) on an optimized crystal structure of ZnP.

POSCAR file:
```
ZnP
1.0
-4.913 4.913 2.006
4.913 -4.913 2.006
4.913 4.913 -2.006
Zn P
4 4
direct
0.100 0.722 0.822
0.278 0.100 0.377
0.722 0.900 0.623
0.900 0.278 0.178
0.135 0.304 0.439
0.304 0.865 0.169
0.696 0.135 0.831
0.865 0.696 0.561
```

Properties
Energy of formation from the pure elements ... 0.4 eV per formula unit
Space group ... I4/m

(7)
VASP calculation (PBE) on an optimized crystal structure of MgZr6Al.

POSCAR file:
```
MgZr6Al
1.0
4.438 0.000 0.000
0.000 4.438 0.000
0.000 0.000 8.842
Mg Zr Al
1 6 1
direct
0.000 0.000 0.000
0.000 0.500 0.257
0.000 0.500 0.743
0.500 0.000 0.257
0.500 0.000 0.743
0.500 0.500 0.000
0.500 0.500 0.500
0.000 0.000 0.500
```

Properties
Energy of formation from the pure elements ... -1.1 eV per formula unit
Space group ... P4/mmm

(8)
VASP calculation (PBE) on an optimized crystal structure of BaBiAu.

POSCAR file:
```
BaBiAu
1.0
-2.617 4.266 4.683
2.617 -4.266 4.683
2.617 4.266 -4.683
Ba Bi Au
2 2 2
direct
0.249 0.250 0.499
0.751 0.750 0.501
0.650 0.000 0.150
0.850 0.500 0.850
0.200 0.501 0.199
0.302 0.001 0.801
```

Properties
Energy of formation from the pure elements ... -2.0 eV per formula unit
Space group ... Ima2

(9)
VASP calculation (PBE) on an optimized crystal structure of Ca3YHg2.

POSCAR file:
```
Ca3YHg2
1.0
5.121 0.000 0.000
0.000 9.781 0.000
0.000 0.000 7.216
Ca Y Hg
6 2 4
direct
0.000 0.066 0.000
0.000 0.319 0.373
0.000 0.681 0.873
0.000 0.934 0.500
0.500 0.184 0.691
0.500 0.816 0.191
0.500 0.441 0.059
0.500 0.559 0.559
0.000 0.370 0.808
0.000 0.630 0.308
0.500 0.143 0.255
0.500 0.857 0.755
```

Properties
Energy of formation from the pure elements ... -2.2 eV per formula unit
Space group ... Pmc2_1

(10)
VASP calculation (PBE) on an optimized crystal structure of Cr2CuBiI.

POSCAR file:
```
Cr2CuBiI
1.0
5.404 0.000 0.000
0.000 5.404 0.000
0.000 0.000 6.193
Cr Cu Bi I
2 1 1 1
direct
0.000 0.500 0.000
0.500 0.000 0.000
0.000 0.000 0.500
0.500 0.500 0.000
0.500 0.500 0.500
```

Properties
ΔE_f (raw) ... 1.32 eV/atom
Space group ... P4/mmm

(11)
VASP calculation (PBE) on an optimized crystal structure of BaBeRe2.

POSCAR file:
```
BaBeRe2
1.0
-1.379 2.444 5.305
1.379 -2.444 5.305
1.379 2.444 -5.305
Ba Be Re
1 1 2
direct
0.000 0.000 0.000
0.500 0.500 0.000
0.295 0.795 0.500
0.705 0.205 0.500
```

Properties
Energy of formation from the pure elements ... 4.2 eV per formula unit
Space group ... Immm

(12)
VASP calculation (PBE) on an optimized crystal structure of MnZn2Ir.

POSCAR file:
```
MnZn2Ir
1.0
3.816 0.000 0.000
0.000 3.816 0.000
0.000 0.000 3.866
Mn Zn Ir
1 2 1
direct
0.000 0.000 0.000
0.000 0.500 0.500
0.500 0.000 0.500
0.500 0.500 0.000
```

Properties
Energy of formation from the pure elements ... -0.6 eV per formula unit
Space group ... P4/mmm

(13)
VASP calculation (PBE) on an optimized crystal structure of Na2TlPd2.

POSCAR file:
```
Na2TlPd2
1.0
6.958 0.000 0.000
0.000 6.958 0.000
0.000 0.000 4.622
Na Tl Pd
4 2 4
direct
0.165 0.335 0.000
0.335 0.835 0.000
0.665 0.165 0.000
0.835 0.665 0.000
0.000 0.000 0.500
0.500 0.500 0.500
0.136 0.636 0.500
0.364 0.136 0.500
0.636 0.864 0.500
0.864 0.364 0.500
```

Properties
Relative energy among the computed polymorphs ... 0 meV/atom
Energy of formation from the pure elements ... -0.9 eV per formula unit
Space group ... P4/mbm

(14)
VASP calculation (PBE) on an optimized crystal structure of LiDy2In.

POSCAR file:
```
LiDy2In
1.0
0.000 3.727 3.727
3.727 0.000 3.727
3.727 3.727 0.000
Li Dy In
1 2 1
direct
0.000 0.000 0.000
0.250 0.250 0.250
0.750 0.750 0.750
0.500 0.500 0.500
```

Properties
Energy of formation from the pure elements ... -1.1 eV per formula unit
Space group ... Fm-3m

(15)
VASP calculation (PBE) on an optimized crystal structure of Pu2SnBi.

POSCAR file:
```
Pu2SnBi
1.0
4.897 0.000 0.000
0.000 4.897 0.000
0.000 0.000 4.554
Pu Sn Bi
2 1 1
direct
0.000 0.500 0.000
0.500 0.000 0.000
0.000 0.000 0.500
0.500 0.500 0.500
```

Properties
Relative energy among the computed polymorphs ... 1 meV/atom
Energy of formation from the pure elements ... -1.4 eV per formula unit
Space group ... P4/mmm

(16)
VASP calculation (PBE) on an optimized crystal structure of Na2PmCdBi2.

POSCAR file:
```
Na2PmCdBi2
1.0
4.961 0.000 0.000
0.000 9.619 0.000
0.000 0.000 7.474
Na Pm Cd Bi
4 2 2 4
direct
0.000 0.049 0.000
0.000 0.951 0.500
0.500 0.156 0.297
0.500 0.844 0.797
0.500 0.475 0.954
0.500 0.525 0.454
0.000 0.328 0.639
0.000 0.672 0.139
0.000 0.356 0.220
0.000 0.644 0.720
0.500 0.175 0.737
0.500 0.825 0.237
```

Properties
Energy of formation from the pure elements ... -2.6 eV per formula unit
Space group ... Pmc2_1

(17)
VASP calculation (PBE) on an optimized crystal structure of Ce2AlSi.

POSCAR file:
```
Ce2AlSi
1.0
4.528 0.000 0.000
0.000 4.528 0.000
0.000 0.000 4.295
Ce Al Si
2 1 1
direct
0.000 0.500 0.000
0.500 0.000 0.000
0.000 0.000 0.500
0.500 0.500 0.500
```

Properties
ΔE_f (raw) ... -0.42 eV/atom
Space group ... P4/mmm

(18)
VASP calculation (PBE) on an optimized crystal structure of Ce2Mg2Cu15.

POSCAR file:
```
Ce2Mg2Cu15
1.0
4.349 2.511 4.287
-4.349 2.511 4.287
0.000 -5.022 4.287
Ce Mg Cu
2 2 15
direct
0.144 0.144 0.144
0.856 0.856 0.856
0.395 0.395 0.395
0.605 0.605 0.605
0.000 0.500 0.500
0.152 0.152 0.653
0.152 0.653 0.152
0.201 0.500 0.799
0.201 0.799 0.500
0.347 0.848 0.848
0.500 0.000 0.500
0.500 0.201 0.799
0.500 0.500 0.000
0.500 0.799 0.201
0.653 0.152 0.152
0.799 0.201 0.500
0.799 0.500 0.201
0.848 0.347 0.848
0.848 0.848 0.347
```

Properties
Energy of formation from the pure elements ... -1.6 eV per formula unit
Space group ... R-3m

(19)
VASP calculation (PBE) on an optimized crystal structure of BaZr2Ru.

POSCAR file:
```
BaZr2Ru
1.0
5.090 0.000 0.000
0.000 5.090 0.000
0.000 0.000 3.420
Ba Zr Ru
1 2 1
direct
0.000 0.000 0.000
0.000 0.500 0.500
0.500 0.000 0.500
0.500 0.500 0.000
```

Properties
Relative energy among the computed polymorphs ... 562 meV/atom
Energy of formation from the pure elements ... 2.6 eV per formula unit
Space group ... P4/mmm

(20)
VASP calculation (PBE) on an optimized crystal structure of Ca6PtRh2.

POSCAR file:
```
Ca6PtRh2
1.0
-4.719 4.772 5.281
4.719 -4.772 5.281
4.719 4.772 -5.281
Ca Pt Rh
12 2 4
direct
0.058 0.246 0.811
0.175 0.281 0.456
0.175 0.719 0.895
0.342 0.025 0.683
0.342 0.659 0.317
0.435 0.246 0.189
0.565 0.754 0.811
0.658 0.341 0.683
0.658 0.975 0.317
0.825 0.281 0.105
0.825 0.719 0.544
0.942 0.754 0.189
0.000 0.000 0.000
0.500 0.500 0.000
0.128 0.628 0.500
0.316 0.000 0.316
0.684 0.000 0.684
0.872 0.372 0.500
```

Properties
Energy of formation from the pure elements ... -4.1 eV per formula unit
Space group ... Immm

What electronic total energy values result from the calculations? In sequence: -5.292, -4.296, -7.054, -6.680, -3.441, -3.122, -7.221, -3.695, -2.547, -4.434, -6.591, -5.287, -3.253, -3.727, -9.497, -3.112, -5.676, -4.110, -6.432, -4.090 eV/atom.